TbTh2Al: optimized geometry, GGA-PBE.

abc: 4.799 4.799 4.901
angles: 90.00 90.00 90.00
Space group P4/mmm (No. 123)
One atom of each set of equivalent atoms:
Tb 0.000 0.000 0.000
Th 0.000 0.500 0.500
Al 0.500 0.500 0.000

## Properties
Energy of formation in eV per atom: -0.131
Calculated density in Mg/m³: 9.6
Polymorph energy (0 for the lowest one) in meV/atom: 0